P:
An optimized crystal structure of SrPrAg2. Source: Alexandria via LeMat-Bulk, functional GGA-PBE.

Calculated values
As for the density of states at the Fermi level: 2.90 states/eV/f.u.

a b c (Å): 4.3093 4.3093 24.2282
angles (deg): 90.00 90.00 120.00
Space group R3m (No. 160, hexagonal axes)
Unique sites:
Sr1 0.0000 0.0000 0.0000 x3
Pr1 0.0000 0.0000 0.8299 x3
Ag1 0.0000 0.0000 0.2431 x3
Ag2 0.0000 0.0000 0.4198 x3

=====

Q:
An optimized crystal structure of SrPrAg2. Source: Alexandria via LeMat-Bulk, functional GGA-PBE.

Calculated values
As for the density of states at the Fermi level: 3.50 states/eV/f.u.

a b c (Å): 3.857 3.857 7.750
angles (deg): 90.00 90.00 90.00
Space group P4/mmm (No. 123)
Unique sites:
Sr1 0.000 0.000 0.000 x1
Pr1 0.000 0.000 0.500 x1
Ag1 0.500 0.500 0.279 x2

=====

R:
An optimized crystal structure of SrPrAg2. Source: Alexandria via LeMat-Bulk, functional GGA-PBE.

Calculated values
As for the density of states at the Fermi level: 2.69 states/eV/f.u.

a b c (Å): 7.668 7.668 7.668
angles (deg): 90.00 90.00 90.00
Space group Fm-3m (No. 225)
Unique sites:
Sr1 0.000 0.000 0.000 x4
Pr1 0.000 0.000 0.500 x4
Ag1 0.250 0.250 0.250 x8

=====

Each structure's energy above the most stable one, in eV/atom: P 0.174; Q 0.000; R 0.022.

=====

P:
An optimized crystal structure of Sr2PrAg. Source: Alexandria via LeMat-Bulk, functional GGA-PBE.

Calculated values
As for the density of states at the Fermi level: 4.46 states/eV/f.u.

a b c (Å): 4.0392 4.0392 33.2271
angles (deg): 90.00 90.00 120.00
Space group R3m (No. 160, hexagonal axes)
Unique sites:
Sr1 0.0000 0.0000 0.0000 x3
Sr2 0.0000 0.0000 0.1958 x3
Pr1 0.0000 0.0000 0.4316 x3
Ag1 0.0000 0.0000 0.5979 x3

=====

Q:
An optimized crystal structure of Sr2PrAg. Source: Alexandria via LeMat-Bulk, functional GGA-PBE.

Calculated values
As for the density of states at the Fermi level: 5.10 states/eV/f.u.

a b c (Å): 3.9184 3.9184 36.2213
angles (deg): 90.00 90.00 120.00
Space group R-3m (No. 166, hexagonal axes)
Unique sites:
Sr1 0.0000 0.0000 0.1034 x6
Pr1 0.0000 0.0000 0.0000 x3
Ag1 0.0000 0.0000 0.5000 x3

=====

Each structure's energy above the most stable one, in eV/atom: P 0.000; Q 0.155.

=====

P:
An optimized crystal structure of TbPrAg4. Source: Alexandria via LeMat-Bulk, functional GGA-PBE.

Calculated values
As for the density of states at the Fermi level: 2.94 states/eV/f.u.

a b c (Å): 5.386 9.489 5.377
angles (deg): 90.00 90.11 90.00
Space group C2/m (No. 12)
Unique sites:
Tb1 0.000 0.000 0.000 x2
Pr1 0.000 0.500 0.500 x2
Ag1 0.000 0.169 0.500 x4
Ag2 0.000 0.324 0.000 x4

=====

Q:
An optimized crystal structure of TbPrAg4. Source: Alexandria via LeMat-Bulk, functional GGA-PBE.

Calculated values
As for the density of states at the Fermi level: 4.63 states/eV/f.u.

a b c (Å): 8.157 8.157 8.157
angles (deg): 90.00 90.00 90.00
Space group F-43m (No. 216)
Unique sites:
Tb1 0.000 0.000 0.000 x4
Pr1 0.250 0.250 0.750 x4
Ag1 0.125 0.125 0.375 x16

=====

Each structure's energy above the most stable one, in eV/atom: P 0.000; Q 0.107.

=====

P:
An optimized crystal structure of Tb2PrAg. Source: Alexandria via LeMat-Bulk, functional GGA-PBE.

Calculated values
As for the density of states at the Fermi level: 5.70 states/eV/f.u.

a b c (Å): 3.658 3.658 8.779
angles (deg): 90.00 90.00 90.00
Space group P4/mmm (No. 123)
Unique sites:
Tb1 0.000 0.000 0.207 x2
Pr1 0.500 0.500 0.500 x1
Ag1 0.500 0.500 0.000 x1

=====

Q:
An optimized crystal structure of Tb2PrAg. Source: Alexandria via LeMat-Bulk, functional GGA-PBE.

Calculated values
As for the density of states at the Fermi level: 5.04 states/eV/f.u.

a b c (Å): 3.6141 3.6141 31.7858
angles (deg): 90.00 90.00 120.00
Space group R-3m (No. 166, hexagonal axes)
Unique sites:
Tb1 0.0000 0.0000 0.2398 x6
Pr1 0.0000 0.0000 0.0000 x3
Ag1 0.0000 0.0000 0.5000 x3

=====

R:
An optimized crystal structure of Tb2PrAg. Source: Alexandria via LeMat-Bulk, functional GGA-PBE.

Calculated values
As for the density of states at the Fermi level: 4.95 states/eV/f.u.

a b c (Å): 3.6484 3.6484 31.5564
angles (deg): 90.00 90.00 120.00
Space group R3m (No. 160, hexagonal axes)
Unique sites:
Tb1 0.0000 0.0000 0.0000 x3
Tb2 0.0000 0.0000 0.1896 x3
Pr1 0.0000 0.0000 0.7616 x3
Ag1 0.0000 0.0000 0.5948 x3

=====

Each structure's energy above the most stable one, in eV/atom: P 0.000; Q 0.117; R 0.132.

=====

P:
An optimized crystal structure of TbPr2Ag. Source: Alexandria via LeMat-Bulk, functional GGA-PBE.

Calculated values
As for the density of states at the Fermi level: 5.69 states/eV/f.u.

a b c (Å): 5.257 5.257 17.618
angles (deg): 90.00 90.00 90.00
Space group I4/mmm (No. 139)
Unique sites:
Tb1 0.000 0.000 0.150 x4
Pr1 0.000 0.000 0.360 x4
Pr2 0.000 0.500 0.000 x4
Ag1 0.000 0.500 0.250 x4

=====

Q:
An optimized crystal structure of TbPr2Ag. Source: Alexandria via LeMat-Bulk, functional GGA-PBE.

Calculated values
As for the density of states at the Fermi level: 4.70 states/eV/f.u.

a b c (Å): 3.6886 3.6886 32.0898
angles (deg): 90.00 90.00 120.00
Space group R3m (No. 160, hexagonal axes)
Unique sites:
Tb1 0.0000 0.0000 0.0000 x3
Pr1 0.0000 0.0000 0.5760 x3
Pr2 0.0000 0.0000 0.7582 x3
Ag1 0.0000 0.0000 0.1678 x3

=====

R:
An optimized crystal structure of TbPr2Ag. Source: Alexandria via LeMat-Bulk, functional GGA-PBE.

Calculated values
As for the density of states at the Fermi level: 4.36 states/eV/f.u.

a b c (Å): 7.824 7.824 7.824
angles (deg): 90.00 90.00 90.00
Space group Fm-3m (No. 225)
Unique sites:
Tb1 0.000 0.000 0.000 x4
Pr1 0.250 0.250 0.250 x8
Ag1 0.000 0.000 0.500 x4

=====

Each structure's energy above the most stable one, in eV/atom: P 0.000; Q 0.126; R 0.184.

=====

P:
An optimized crystal structure of TbPrAg3. Source: Alexandria via LeMat-Bulk, functional GGA-PBE.

Calculated values
As for the density of states at the Fermi level: 2.99 states/eV/f.u.

a b c (Å): 5.640 4.976 8.788
angles (deg): 90.00 101.55 90.00
Space group P2_1/m (No. 11)
Unique sites:
Tb1 0.249 0.250 0.445 x2
Pr1 0.448 0.750 0.127 x2
Ag1 0.006 0.250 0.729 x2
Ag2 0.085 0.250 0.086 x2
Ag3 0.287 0.750 0.697 x2

=====

Q:
An optimized crystal structure of TbPrAg3. Source: Alexandria via LeMat-Bulk, functional GGA-PBE.

Calculated values
As for the density of states at the Fermi level: 4.54 states/eV/f.u.

a b c (Å): 3.608 28.257 4.826
angles (deg): 90.00 90.00 90.00
Space group Cmcm (No. 63)
Unique sites:
Tb1 0.000 0.210 0.250 x4
Pr1 0.000 0.075 0.750 x4
Ag1 0.000 0.322 0.250 x4
Ag2 0.000 0.378 0.750 x4
Ag3 0.000 0.476 0.750 x4

=====

Each structure's energy above the most stable one, in eV/atom: P 0.038; Q 0.000.

=====

P:
An optimized crystal structure of TbPrTmAg. Source: Alexandria via LeMat-Bulk, functional GGA-PBE.

Calculated values
As for the density of states at the Fermi level: 5.62 states/eV/f.u.

a b c (Å): 3.645 3.645 8.632
angles (deg): 90.00 90.00 90.00
Space group P4mm (No. 99)
Unique sites:
Tb1 0.000 0.000 0.000 x1
Pr1 0.500 0.500 0.296 x1
Tm1 0.000 0.000 0.588 x1
Ag1 0.500 0.500 0.785 x1

=====

Q:
An optimized crystal structure of TbPrTmAg. Source: Alexandria via LeMat-Bulk, functional GGA-PBE.

Calculated values
As for the density of states at the Fermi level: 3.49 states/eV/f.u.

a b c (Å): 7.687 7.687 7.687
angles (deg): 90.00 90.00 90.00
Space group F-43m (No. 216)
Unique sites:
Tb1 0.000 0.000 0.000 x4
Pr1 0.000 0.000 0.500 x4
Tm1 0.250 0.250 0.250 x4
Ag1 0.250 0.250 0.750 x4

=====

Each structure's energy above the most stable one, in eV/atom: P 0.000; Q 0.187.

=====

P:
An optimized crystal structure of TbPrZnAg. Source: Alexandria via LeMat-Bulk, functional GGA-PBE.

Calculated values
As for the density of states at the Fermi level: 3.92 states/eV/f.u.

a b c (Å): 3.680 3.680 7.367
angles (deg): 90.00 90.00 90.00
Space group P4mm (No. 99)
Unique sites:
Tb1 0.000 0.000 0.000 x1
Pr1 0.000 0.000 0.484 x1
Zn1 0.500 0.500 0.227 x1
Ag1 0.500 0.500 0.765 x1

=====

Q:
An optimized crystal structure of TbPrZnAg. Source: Alexandria via LeMat-Bulk, functional GGA-PBE.

Calculated values
As for the density of states at the Fermi level: 3.35 states/eV/f.u.

a b c (Å): 7.380 7.380 7.380
angles (deg): 90.00 90.00 90.00
Space group F-43m (No. 216)
Unique sites:
Tb1 0.000 0.000 0.000 x4
Pr1 0.000 0.000 0.500 x4
Zn1 0.250 0.250 0.750 x4
Ag1 0.250 0.250 0.250 x4

=====

Each structure's energy above the most stable one, in eV/atom: P 0.000; Q 0.022.

=====

P:
An optimized crystal structure of Pr2AgTe. Source: Alexandria via LeMat-Bulk, functional GGA-PBE.

Calculated values
As for the density of states at the Fermi level: 5.58 states/eV/f.u.

a b c (Å): 7.672 7.672 7.672
angles (deg): 90.00 90.00 90.00
Space group Fm-3m (No. 225)
Unique sites:
Pr1 0.250 0.250 0.250 x8
Ag1 0.000 0.000 0.000 x4
Te1 0.000 0.000 0.500 x4

=====

Q:
An optimized crystal structure of Pr2AgTe. Source: Alexandria via LeMat-Bulk, functional GGA-PBE.

Calculated values
As for the density of states at the Fermi level: 3.24 states/eV/f.u.

a b c (Å): 5.348 5.348 3.949
angles (deg): 90.00 90.00 90.00
Space group P4/mmm (No. 123)
Unique sites:
Pr1 0.000 0.500 0.000 x2
Ag1 0.000 0.000 0.500 x1
Te1 0.500 0.500 0.500 x1

=====

Each structure's energy above the most stable one, in eV/atom: P 0.078; Q 0.000.

=====

P:
An optimized crystal structure of Pr2AgTe. Source: Alexandria via LeMat-Bulk, functional GGA-PBE.

Calculated values
As for the density of states at the Fermi level: 4.84 states/eV/f.u.

a b c (Å): 4.3961 4.3961 22.8206
angles (deg): 90.00 90.00 120.00
Space group R-3m (No. 166, hexagonal axes)
Unique sites:
Pr1 0.0000 0.0000 0.2483 x6
Ag1 0.0000 0.0000 0.5000 x3
Te1 0.0000 0.0000 0.0000 x3

=====

Q:
An optimized crystal structure of Pr2AgTe. Source: Alexandria via LeMat-Bulk, functional GGA-PBE.

Calculated values
As for the density of states at the Fermi level: 3.93 states/eV/f.u.

a b c (Å): 4.3649 4.3649 23.4184
angles (deg): 90.00 90.00 120.00
Space group R3m (No. 160, hexagonal axes)
Unique sites:
Pr1 0.0000 0.0000 0.0000 x3
Pr2 0.0000 0.0000 0.1774 x3
Ag1 0.0000 0.0000 0.5891 x3
Te1 0.0000 0.0000 0.4212 x3

=====

Each structure's energy above the most stable one, in eV/atom: P 0.000; Q 0.044.

=====

P:
An optimized crystal structure of Pr2ThAg. Source: Alexandria via LeMat-Bulk, functional GGA-PBE.

Calculated values
As for the density of states at the Fermi level: 4.65 states/eV/f.u.

a b c (Å): 3.718 3.718 8.753
angles (deg): 90.00 90.00 90.00
Space group P4/mmm (No. 123)
Unique sites:
Pr1 0.000 0.000 0.225 x2
Th1 0.500 0.500 0.500 x1
Ag1 0.500 0.500 0.000 x1

=====

Q:
An optimized crystal structure of Pr2ThAg. Source: Alexandria via LeMat-Bulk, functional GGA-PBE.

Calculated values
As for the density of states at the Fermi level: 3.29 states/eV/f.u.

a b c (Å): 3.4584 3.4584 35.9908
angles (deg): 90.00 90.00 120.00
Space group R-3m (No. 166, hexagonal axes)
Unique sites:
Pr1 0.0000 0.0000 0.0961 x6
Th1 0.0000 0.0000 0.0000 x3
Ag1 0.0000 0.0000 0.5000 x3

=====

R:
An optimized crystal structure of Pr2ThAg. Source: Alexandria via LeMat-Bulk, functional GGA-PBE.

Calculated values
As for the density of states at the Fermi level: 6.66 states/eV/f.u.

a b c (Å): 6.272 3.631 11.152
angles (deg): 90.00 100.76 90.00
Space group Cm (No. 8)
Unique sites:
Pr1 0.000 0.000 0.000 x2
Pr2 0.183 0.000 0.549 x2
Th1 0.427 0.000 0.274 x2
Ag1 0.092 0.500 0.774 x2

=====

Each structure's energy above the most stable one, in eV/atom: P 0.000; Q 0.313; R 0.156.

=====

P:
An optimized crystal structure of Pr6Tl2Ag. Source: Alexandria via LeMat-Bulk, functional GGA-PBE.

Calculated values
As for the density of states at the Fermi level: 15.70 states/eV/f.u.

a b c (Å): 9.2076 9.2076 3.8786
angles (deg): 90.00 90.00 120.00
Space group P-62m (No. 189)
Unique sites:
Pr1 0.0000 0.3968 0.0000 x3
Pr2 0.0000 0.7344 0.5000 x3
Tl1 0.3333 0.6667 0.5000 x2
Ag1 0.0000 0.0000 0.0000 x1

=====

Q:
An optimized crystal structure of Pr6Tl2Ag. Source: Alexandria via LeMat-Bulk, functional GGA-PBE.

Calculated values
As for the density of states at the Fermi level: 10.58 states/eV/f.u.

a b c (Å): 6.453 8.820 11.769
angles (deg): 90.00 118.32 90.00
Space group P2_1/c (No. 14)
Unique sites:
Pr1 0.079 0.157 0.451 x4
Pr2 0.340 0.700 0.440 x4
Pr3 0.410 0.048 0.274 x4
Tl1 0.165 0.117 0.761 x4
Ag1 0.000 0.000 0.000 x2

=====

Each structure's energy above the most stable one, in eV/atom: P 0.000; Q 0.082.